[1]
! ErPa2GeN5 | the Alexandria database | PBE | optimized geometry; values from VASP
&SYSTEM
  ibrav = 0, nat = 18, ntyp = 4
/
ATOMIC_SPECIES
Er 167.26 Er.upf
Pa 231.04 Pa.upf
Ge 72.64 Ge.upf
N 14.01 N.upf
CELL_PARAMETERS angstrom
3.316 0.000 0.000
-1.658 7.222 0.000
0.000 0.000 9.974
ATOMIC_POSITIONS crystal
Er 0.794 0.589 0.509
Er 0.206 0.411 0.009
Pa 0.867 0.734 0.810
Pa 0.115 0.229 0.678
Pa 0.133 0.266 0.310
Pa 0.885 0.771 0.178
Ge 0.541 0.081 0.950
Ge 0.459 0.919 0.450
N 0.360 0.721 0.007
N 0.664 0.328 0.857
N 0.486 0.971 0.781
N 0.292 0.583 0.682
N 0.963 0.925 0.549
N 0.640 0.279 0.507
N 0.336 0.672 0.357
N 0.514 0.029 0.281
N 0.708 0.417 0.182
N 0.037 0.075 0.049
! ΔE_f (raw) = -1059 meV per atom
! volume = 238.88 Å³/cell

---

[2]
! Er4GePbN | the Alexandria database | PBE | optimized geometry; values from VASP
&SYSTEM
  ibrav = 0, nat = 14, ntyp = 4
/
ATOMIC_SPECIES
Er 167.26 Er.upf
Ge 72.64 Ge.upf
Pb 207.20 Pb.upf
N 14.01 N.upf
CELL_PARAMETERS angstrom
-1.587 -6.322 0.331
6.231 -1.497 1.273
-0.583 3.906 7.450
ATOMIC_POSITIONS crystal
Er 0.918 0.250 0.835
Er 0.407 0.750 0.814
Er 0.082 0.750 0.165
Er 0.593 0.250 0.186
Er 0.500 0.500 0.500
Er 0.000 0.000 0.500
Er 0.500 0.000 0.500
Er 0.000 0.500 0.500
Ge 0.113 0.250 0.227
Ge 0.887 0.750 0.773
Pb 0.604 0.750 0.208
Pb 0.396 0.250 0.792
N 0.249 0.750 0.498
N 0.751 0.250 0.502
! ΔE_f (raw) = -907 meV per atom
! volume = 331.50 Å³/cell

---

[3]
! Er4GeSe2N | the Alexandria database | PBE | optimized geometry; values from VASP
&SYSTEM
  ibrav = 0, nat = 8, ntyp = 4
/
ATOMIC_SPECIES
Er 167.26 Er.upf
Ge 72.64 Ge.upf
Se 78.96 Se.upf
N 14.01 N.upf
CELL_PARAMETERS angstrom
-1.094 1.033 3.567
1.672 -6.126 2.287
5.523 4.159 0.490
ATOMIC_POSITIONS crystal
Er 0.500 0.219 0.210
Er 0.500 0.781 0.790
Er 0.000 0.235 0.778
Er 0.000 0.765 0.222
Ge 0.500 0.500 0.000
Se 0.500 0.000 0.500
Se 0.000 0.500 0.500
N 0.000 0.000 0.000
! ΔE_f (raw) = -1455 meV per atom
! volume = 171.38 Å³/cell

---

[4]
! Er4SnGeN | the Alexandria database | PBE | optimized geometry; values from VASP
&SYSTEM
  ibrav = 0, nat = 14, ntyp = 4
/
ATOMIC_SPECIES
Er 167.26 Er.upf
Sn 118.71 Sn.upf
Ge 72.64 Ge.upf
N 14.01 N.upf
CELL_PARAMETERS angstrom
-5.478 -1.810 -2.989
0.213 -5.725 3.076
-1.420 3.877 7.315
ATOMIC_POSITIONS crystal
Er 0.918 0.250 0.836
Er 0.410 0.750 0.819
Er 0.082 0.750 0.164
Er 0.590 0.250 0.181
Er 0.500 0.500 0.500
Er 0.000 0.000 0.500
Er 0.500 0.000 0.500
Er 0.000 0.500 0.500
Sn 0.606 0.750 0.212
Sn 0.394 0.250 0.788
Ge 0.113 0.250 0.226
Ge 0.887 0.750 0.774
N 0.248 0.750 0.496
N 0.752 0.250 0.504
! ΔE_f (raw) = -981 meV per atom
! volume = 327.29 Å³/cell

---

[5]
! SrErGeN3 | the Alexandria database | PBE | optimized geometry; values from VASP
&SYSTEM
  ibrav = 0, nat = 12, ntyp = 4
/
ATOMIC_SPECIES
Sr 87.62 Sr.upf
Er 167.26 Er.upf
Ge 72.64 Ge.upf
N 14.01 N.upf
CELL_PARAMETERS angstrom
-2.325 0.113 2.433
-2.572 -6.180 -2.172
6.105 -3.409 5.993
ATOMIC_POSITIONS crystal
Sr 0.750 0.811 0.775
Sr 0.250 0.189 0.225
Er 0.250 0.641 0.120
Er 0.750 0.359 0.880
Ge 0.250 0.115 0.599
Ge 0.750 0.885 0.401
N 0.250 0.844 0.506
N 0.750 0.871 0.206
N 0.750 0.407 0.121
N 0.750 0.156 0.494
N 0.250 0.593 0.879
N 0.250 0.129 0.794
! ΔE_f (raw) = -710 meV per atom
! volume = 216.67 Å³/cell

---

[6]
! NaErGe2 | the Alexandria database | PBE | optimized geometry; values from VASP
&SYSTEM
  ibrav = 0, nat = 4, ntyp = 3
/
ATOMIC_SPECIES
Na 22.99 Na.upf
Ge 72.64 Ge.upf
Er 167.26 Er.upf
CELL_PARAMETERS angstrom
4.183 0.000 0.000
0.000 4.473 0.000
0.000 0.000 4.473
ATOMIC_POSITIONS crystal
Na 0.500 0.500 0.500
Ge 0.000 0.000 0.500
Ge 0.000 0.500 0.000
Er 0.500 0.000 0.000
! E_form = -8.26 kcal/mol of atoms
! volume = 83.67 Å³/cell

---

[7]
! NaErGe2 | the Alexandria database | PBE | optimized geometry; values from VASP
&SYSTEM
  ibrav = 0, nat = 4, ntyp = 3
/
ATOMIC_SPECIES
Na 22.99 Na.upf
Ge 72.64 Ge.upf
Er 167.26 Er.upf
CELL_PARAMETERS angstrom
3.804 0.000 0.000
0.000 3.804 0.000
0.000 0.000 6.868
ATOMIC_POSITIONS crystal
Na 0.500 0.500 0.000
Ge 0.000 0.000 0.689
Ge 0.000 0.000 0.311
Er 0.500 0.500 0.500
! E_form = -7.91 kcal/mol of atoms
! volume = 99.36 Å³/cell

---

[8]
! NaErGeO4 | the Alexandria database | PBE | optimized geometry; values from VASP
&SYSTEM
  ibrav = 0, nat = 28, ntyp = 4
/
ATOMIC_SPECIES
Na 22.99 Na.upf
Er 167.26 Er.upf
Ge 72.64 Ge.upf
O 16.00 O.upf
CELL_PARAMETERS angstrom
-3.394 -3.978 0.941
4.840 -3.579 2.324
-1.962 4.152 10.478
ATOMIC_POSITIONS crystal
Na 0.500 0.000 0.000
Na 0.000 0.000 0.500
Na 0.500 0.500 0.000
Na 0.000 0.500 0.500
Er 0.006 0.750 0.777
Er 0.506 0.250 0.723
Er 0.994 0.250 0.223
Er 0.494 0.750 0.277
Ge 0.052 0.750 0.098
Ge 0.552 0.250 0.402
Ge 0.948 0.250 0.902
Ge 0.448 0.750 0.598
O 0.792 0.041 0.824
O 0.292 0.959 0.676
O 0.208 0.541 0.176
O 0.708 0.459 0.324
O 0.208 0.959 0.176
O 0.708 0.041 0.324
O 0.792 0.459 0.824
O 0.292 0.541 0.676
O 0.171 0.750 0.954
O 0.671 0.250 0.546
O 0.829 0.250 0.046
O 0.329 0.750 0.454
O 0.775 0.750 0.612
O 0.275 0.250 0.888
O 0.225 0.250 0.388
O 0.725 0.750 0.112
! ΔE_f (raw) = -2492 meV per atom
! volume = 392.26 Å³/cell

---

Number 1: N(E_F) 12.1 states/eV per cell, calculated total energy -8.814 eV/atom, calculated density 10.73 g/cm3. Number 2: N(E_F) 8.0 states/eV per cell, calculated total energy -5.894 eV/atom, calculated density 9.65 g/cm3. Number 3: N(E_F) 1.9 states/eV per cell, calculated total energy -6.225 eV/atom, calculated density 8.85 g/cm3. Number 4: N(E_F) 8.1 states/eV per cell, calculated total energy -6.009 eV/atom, calculated density 8.87 g/cm3. Number 5: N(E_F) 0.0 states/eV per cell, calculated total energy -6.683 eV/atom, calculated density 5.66 g/cm3. Number 6: N(E_F) 1.1 states/eV per cell, calculated total energy -4.137 eV/atom, calculated density 6.66 g/cm3. Number 7: N(E_F) 2.1 states/eV per cell, calculated total energy -4.122 eV/atom, calculated density 5.61 g/cm3. Number 8: N(E_F) 0.0 states/eV per cell, calculated total energy -6.825 eV/atom, calculated density 5.54 g/cm3.